(1)
Compound: Ba3ReO
Source: Alexandria
Functional: PBE
Structure: optimized geometry

Calculated values
The uncorrected formation energy is -186 meV per atom. The energy above the most stable polymorph in this dataset comes out at 0.00 eV per formula unit. Its space-group type is No. 221.

a = 5.367 Å, b = 5.367 Å, c = 5.367 Å
α = 90.00°, β = 90.00°, γ = 90.00°
Fractional coordinates of all 5 atoms:
Ba 0.000 0.000 0.500
Ba 0.000 0.500 0.000
Ba 0.500 0.000 0.000
Re 0.500 0.500 0.500
O 0.000 0.000 0.000

=====

(2)
Compound: Ba3Re2O8
Source: Alexandria
Functional: PBE
Structure: optimized geometry

Calculated values
The uncorrected formation energy is -1990 meV per atom. Its space-group type is No. 166.

a = 7.644 Å, b = 7.644 Å, c = 7.644 Å
α = 48.62°, β = 48.62°, γ = 48.62°
Fractional coordinates of all 13 atoms:
Ba 0.000 0.000 0.000
Ba 0.212 0.212 0.212
Ba 0.788 0.788 0.788
Re 0.433 0.433 0.433
Re 0.567 0.567 0.567
O 0.222 0.733 0.733
O 0.267 0.267 0.778
O 0.267 0.778 0.267
O 0.338 0.338 0.338
O 0.662 0.662 0.662
O 0.733 0.222 0.733
O 0.733 0.733 0.222
O 0.778 0.267 0.267

=====

(3)
Compound: Ba3ReO6
Source: Alexandria
Functional: PBE
Structure: optimized geometry

Calculated values
The uncorrected formation energy is -2333 meV per atom. The energy above the most stable polymorph in this dataset comes out at 0.00 eV per formula unit. Its space-group type is No. 12.

a = 6.149 Å, b = 6.149 Å, c = 6.383 Å
α = 118.48°, β = 118.48°, γ = 60.52°
Fractional coordinates of all 10 atoms:
Ba 0.000 0.000 0.000
Ba 0.242 0.242 0.724
Ba 0.758 0.758 0.276
Re 0.500 0.500 0.500
O 0.221 0.666 0.652
O 0.296 0.296 0.203
O 0.334 0.779 0.348
O 0.666 0.221 0.652
O 0.704 0.704 0.797
O 0.779 0.334 0.348

=====

(4)
Compound: BaReO2
Source: Alexandria
Functional: PBE
Structure: optimized geometry

Calculated values
The uncorrected formation energy is 32 meV per atom. The energy above the most stable polymorph in this dataset comes out at 5.21 eV per formula unit. Its space-group type is No. 225.

a = 4.387 Å, b = 4.387 Å, c = 4.387 Å
α = 60.00°, β = 60.00°, γ = 60.00°
Fractional coordinates of all 4 atoms:
Ba 0.000 0.000 0.000
Re 0.500 0.500 0.500
O 0.250 0.250 0.250
O 0.750 0.750 0.750

=====

(5)
Compound: BaRe2O7
Source: Alexandria
Functional: PBE
Structure: optimized geometry

Calculated values
The uncorrected formation energy is -1855 meV per atom. Its space-group type is No. 65.

a = 6.023 Å, b = 6.023 Å, c = 3.861 Å
α = 90.00°, β = 90.00°, γ = 117.34°
Fractional coordinates of all 10 atoms:
Ba 0.000 0.000 0.000
Re 0.310 0.690 0.500
Re 0.690 0.310 0.500
O 0.037 0.334 0.500
O 0.308 0.692 0.000
O 0.334 0.037 0.500
O 0.500 0.500 0.500
O 0.666 0.963 0.500
O 0.692 0.308 0.000
O 0.963 0.666 0.500

=====

(6)
Compound: BaReO5
Source: Alexandria
Functional: PBE
Structure: optimized geometry

Calculated values
The uncorrected formation energy is -1746 meV per atom. The energy above the most stable polymorph in this dataset comes out at 0.00 eV per formula unit. Its space-group type is No. 74.

a = 6.647 Å, b = 6.647 Å, c = 6.647 Å
α = 110.48°, β = 107.43°, γ = 110.52°
Fractional coordinates of all 14 atoms:
Ba 0.454 0.204 0.250
Ba 0.546 0.796 0.750
Re 0.000 0.000 0.500
Re 0.000 0.500 0.000
O 0.068 0.818 0.250
O 0.237 0.000 0.737
O 0.237 0.295 0.558
O 0.237 0.500 0.237
O 0.237 0.680 0.942
O 0.763 0.000 0.263
O 0.763 0.320 0.058
O 0.763 0.500 0.763
O 0.763 0.705 0.442
O 0.932 0.182 0.750